Computed, not measured: Ba3VSn2O9 after structural relaxation at the GGA+U level of DFT.

The total energy is -6.6063 eV/atom.

The structure belongs to space group P-3m1 (No. 164); the cell edges are 5.8357, 5.8357 and 7.1640 Å and the angles 90.00°, 90.00° and 120.00°. The inequivalent atoms are Ba at (0.0000, 0.0000, 0.0000), Ba at (0.3333, 0.6667, 0.6647), V at (0.0000, 0.0000, 0.5000), Sn at (0.3333, 0.6667, 0.1716), O at (0.0000, 0.5000, 0.0000) and O at (0.1620, 0.3240, 0.3390).

=====

Computed, not measured: BaVSnO5 after structural relaxation at the GGA+U level of DFT.

The total energy is -6.8483 eV/atom.

The structure belongs to space group C2/c (No. 15); the cell edges are 7.426, 9.981 and 7.737 Å and the angles 90.00°, 112.34° and 90.00°. The inequivalent atoms are Ba at (0.000, 0.168, 0.250), V at (0.000, 0.185, 0.750), Sn at (0.000, 0.500, 0.000), O at (0.000, 0.433, 0.250), O at (0.100, 0.287, 0.619) and O at (0.173, 0.078, 0.906).

=====

Computed, not measured: BaSnWO2 after structural relaxation at the GGA+U level of DFT.

The total energy is -4.1545 eV/atom.

The structure belongs to space group P4/mmm (No. 123); the cell edges are 4.393, 4.393 and 8.037 Å and the angles 90.00°, 90.00° and 90.00°. The inequivalent atoms are Ba at (0.000, 0.000, 0.000), Sn at (0.000, 0.000, 0.500), W at (0.500, 0.500, 0.500) and O at (0.000, 0.500, 0.000).